ErZnInO4: relaxed, PBE.

Properties
Formation energy from raw total energies: -2173 meV/atom

Unit cell a=6.407 b=6.576 c=9.128 alpha=90.00 beta=90.00 gamma=90.00
Space group Imma (No. 74)
Symmetry-distinct sites (fractional):
Er 0.000 0.000 0.000
Zn 0.000 0.250 0.380
In 0.250 0.250 0.750
O 0.000 0.015 0.752
O 0.237 0.250 0.994